No. 1
Compound: CsNbHgCl6
Source: Alexandria
Functional: PBE-GGA
Structure: optimized geometry

Cell and atoms, written as POSCAR:
```
CsNbHgCl6
1.0
8.006 0.000 0.000
-4.003 6.934 0.000
0.000 0.000 6.520
Cs Nb Hg Cl
1 1 1 6
Direct
0.000 0.000 0.000
0.333 0.667 0.500
0.667 0.333 0.500
0.091 0.420 0.289
0.091 0.671 0.711
0.329 0.420 0.711
0.329 0.909 0.289
0.580 0.671 0.289
0.580 0.909 0.711
```

As for the formation energy (no corrections): -1114 kJ/mol of formula units.

=====

No. 2
Compound: Hf3BeW
Source: Alexandria
Functional: PBE-GGA
Structure: optimized geometry

Cell and atoms, written as POSCAR:
```
Hf3BeW
1.0
4.589 0.000 0.000
0.000 4.589 0.000
0.000 0.000 4.589
Hf Be W
3 1 1
Direct
0.000 0.000 0.500
0.000 0.500 0.000
0.500 0.000 0.000
0.000 0.000 0.000
0.500 0.500 0.500
```

Its density of states at the Fermi level is 9.40 states/eV/f.u. The energy relative to the elements is 0.687 eV/atom.

=====

No. 3
Compound: K3Dy3UTe8
Source: Alexandria
Functional: PBE-GGA
Structure: optimized geometry

Cell and atoms, written as POSCAR:
```
K3Dy3UTe8
1.0
4.449 2.569 8.375
-4.449 2.569 8.375
0.000 -5.138 8.375
K Dy U Te
3 3 1 8
Direct
0.000 0.500 0.500
0.500 0.000 0.500
0.500 0.500 0.000
0.000 0.000 0.500
0.000 0.500 0.000
0.500 0.000 0.000
0.500 0.500 0.500
0.235 0.735 0.735
0.236 0.236 0.236
0.265 0.265 0.765
0.265 0.765 0.265
0.735 0.235 0.735
0.735 0.735 0.235
0.764 0.764 0.764
0.765 0.265 0.265
```

As for the formation energy (no corrections): -1790 kJ/mol of formula units. Its density of states at the Fermi level is 5.15 states/eV/f.u.

=====

No. 4
Compound: Cu4Ni4Pt
Source: Alexandria
Functional: PBE-GGA
Structure: optimized geometry

Cell and atoms, written as POSCAR:
```
Cu4Ni4Pt
1.0
-3.858 3.858 1.793
3.858 -3.858 1.793
3.858 3.858 -1.793
Cu Ni Pt
4 4 1
Direct
0.000 0.335 0.335
0.000 0.665 0.665
0.335 0.000 0.335
0.665 0.000 0.665
0.330 0.330 0.660
0.330 0.670 0.000
0.670 0.330 0.000
0.670 0.670 0.340
0.000 0.000 0.000
```

Its density of states at the Fermi level is 11.07 states/eV/f.u. The energy relative to the elements is -0.013 eV/atom.

=====

No. 5
Compound: Mo3WSe6S2
Source: Alexandria
Functional: PBE-GGA
Structure: optimized geometry

Cell and atoms, written as POSCAR:
```
Mo3WSe6S2
1.0
3.289 0.000 0.000
-1.645 2.849 0.000
0.000 0.000 32.451
Mo W Se S
3 1 6 2
Direct
0.000 0.000 0.000
0.000 0.000 0.445
0.333 0.667 0.226
0.333 0.667 0.665
0.000 0.000 0.174
0.000 0.000 0.278
0.000 0.000 0.613
0.000 0.000 0.718
0.333 0.667 0.052
0.333 0.667 0.948
0.333 0.667 0.398
0.333 0.667 0.493
```

As for the formation energy (no corrections): -801 kJ/mol of formula units.

=====

No. 6
Compound: SrMg2Re
Source: Alexandria
Functional: PBE-GGA
Structure: optimized geometry

Cell and atoms, written as POSCAR:
```
SrMg2Re
1.0
7.154 0.000 0.000
0.000 7.154 0.000
0.000 0.000 7.154
Sr Mg Re
4 8 4
Direct
0.000 0.000 0.000
0.000 0.500 0.500
0.500 0.000 0.500
0.500 0.500 0.000
0.000 0.000 0.500
0.000 0.500 0.000
0.250 0.250 0.750
0.250 0.750 0.250
0.500 0.000 0.000
0.500 0.500 0.500
0.750 0.250 0.250
0.750 0.750 0.750
0.250 0.250 0.250
0.250 0.750 0.750
0.750 0.250 0.750
0.750 0.750 0.250
```

Its density of states at the Fermi level is 5.87 states/eV/f.u. The energy relative to the elements is 0.795 eV/atom.

=====

No. 7
Compound: VHgOs3
Source: Alexandria
Functional: PBE-GGA
Structure: optimized geometry

Cell and atoms, written as POSCAR:
```
VHgOs3
1.0
4.875 0.000 0.000
0.000 4.875 0.000
0.000 0.000 4.875
V Hg Os
1 1 3
Direct
0.000 0.000 0.000
0.500 0.500 0.500
0.000 0.500 0.500
0.500 0.000 0.500
0.500 0.500 0.000
```

Its density of states at the Fermi level is 8.51 states/eV/f.u. The energy relative to the elements is 3.199 eV/atom.

=====

No. 8
Compound: Ac2LuIn
Source: Alexandria
Functional: PBE-GGA
Structure: optimized geometry

Cell and atoms, written as POSCAR:
```
Ac2LuIn
1.0
4.206 0.000 0.000
0.000 4.206 0.000
0.000 0.000 8.135
Ac Lu In
2 1 1
Direct
0.000 0.000 0.236
0.000 0.000 0.764
0.500 0.500 0.500
0.500 0.500 0.000
```

Its density of states at the Fermi level is 5.65 states/eV/f.u. The energy relative to the elements is -0.128 eV/atom.

=====

No. 9
Compound: MgScS2N
Source: Alexandria
Functional: PBE-GGA
Structure: optimized geometry

Cell and atoms, written as POSCAR:
```
MgScS2N
1.0
4.807 0.000 0.000
0.000 4.807 0.000
0.000 0.000 3.895
Mg Sc S N
1 1 2 1
Direct
0.000 0.000 0.000
0.500 0.500 0.500
0.000 0.500 0.000
0.500 0.000 0.000
0.000 0.000 0.500
```

As for the formation energy (no corrections): -52 kJ/mol of formula units. Its density of states at the Fermi level is 1.36 states/eV/f.u.

=====

No. 10
Compound: MgCdRh2
Source: Alexandria
Functional: PBE-GGA
Structure: optimized geometry

Cell and atoms, written as POSCAR:
```
MgCdRh2
1.0
2.886 0.000 0.000
0.000 4.104 0.000
-1.083 0.000 5.472
Mg Cd Rh
1 1 2
Direct
0.000 0.000 0.000
0.000 0.000 0.500
0.403 0.500 0.236
0.597 0.500 0.764
```

Its density of states at the Fermi level is 2.13 states/eV/f.u. The energy relative to the elements is -0.167 eV/atom.

=====

No. 11
Compound: PuScI6
Source: Alexandria
Functional: PBE-GGA
Structure: optimized geometry

Cell and atoms, written as POSCAR:
```
PuScI6
1.0
7.904 0.000 0.000
0.000 13.520 0.000
-0.330 0.000 7.513
Pu Sc I
2 2 12
Direct
0.000 0.000 0.000
0.500 0.500 0.000
0.000 0.000 0.500
0.500 0.500 0.500
0.148 0.150 0.737
0.148 0.850 0.737
0.204 0.500 0.717
0.296 0.000 0.283
0.352 0.350 0.263
0.352 0.650 0.263
0.648 0.350 0.737
0.648 0.650 0.737
0.704 0.000 0.717
0.796 0.500 0.283
0.852 0.150 0.263
0.852 0.850 0.263
```

As for the formation energy (no corrections): -878 kJ/mol of formula units. Its density of states at the Fermi level is 9.38 states/eV/f.u.

=====

No. 12
Compound: PmZr
Source: Alexandria
Functional: PBE-GGA
Structure: optimized geometry

Cell and atoms, written as POSCAR:
```
PmZr
1.0
3.362 0.000 0.000
0.000 5.477 0.000
0.000 0.000 6.090
Pm Zr
2 2
Direct
0.250 0.250 0.102
0.750 0.750 0.898
0.250 0.750 0.428
0.750 0.250 0.572
```

Its density of states at the Fermi level is 2.82 states/eV/f.u. The energy relative to the elements is 0.160 eV/atom.